A plane-wave DFT calculation with PBE was carried out for Ti3Se4S2 after structural relaxation.

a b c (Å): 3.4424 3.4424 21.1554
angles (deg): 90.00 90.00 120.00
With the nearest neighbours (Å) after each atom.
Atoms (fractional coordinates):
Se 0.6667 0.3333 0.4001  3 Ti 2.57
S 0.6667 0.3333 0.0488  3 Ti 2.48
Ti 0.0000 0.0000 0.9786  6 S 2.48
Se 0.6667 0.3333 0.2456  3 Ti 2.57
S 0.6667 0.3333 0.9084  3 Ti 2.48
Se 0.0000 0.0000 0.5804  3 Ti 2.57
Se 0.0000 0.0000 0.7348  3 Ti 2.57
Ti 0.0000 0.0000 0.3228  6 Se 2.57
Ti 0.6667 0.3333 0.6577  6 Se 2.57

## Properties
Total magnetic moment: 0.000 μB/atom
Energy relative to the elements, uncorrected: -1.0337 eV/atom
Theoretical density: 4.0 g cm⁻³
Total energy: -55.181 eV/cell

A plane-wave DFT calculation with PBE was carried out for IrPdRh2 after structural relaxation.

a b c (Å): 2.7387 2.7387 9.0913
angles (deg): 81.34 81.34 60.00
With the nearest neighbours (Å) after each atom.
Atoms (fractional coordinates):
Rh 0.2520 0.2520 0.2440  3 Ir 2.70, 6 Rh 2.74, 3 Pd 2.78
Ir 0.0000 0.0000 0.0000  6 Rh 2.70, 6 Ir 2.74
Rh 0.7480 0.7480 0.7560  3 Ir 2.70, 6 Rh 2.74, 3 Pd 2.78
Pd 0.5000 0.5000 0.5000  6 Pd 2.74, 6 Rh 2.78

## Properties
ΔH_f (0 K): 15 meV/atom
Total magnetic moment: 0.000 μB/atom
Theoretical density: 14.4 g cm⁻³
Total energy: -28.696 eV/cell

A plane-wave DFT calculation with PBE was carried out for Pm4Dy3Ho3 after structural relaxation.

a b c (Å): 3.7946 9.2969 9.2969
angles (deg): 89.96 90.00 90.00
With the nearest neighbours (Å) after each atom.
Atoms (fractional coordinates):
Dy 0.0000 0.5005 0.0003  4 Pm 3.64-3.65, 4 Dy 3.79-3.95, 6 Ho 3.94
Pm 0.0000 0.3697 0.6303  2 Dy 3.25, 4 Ho 3.39, 1 Pm 3.43
Dy 0.0000 0.9997 0.4995  4 Pm 3.64-3.65, 4 Dy 3.79-3.95, 6 Ho 3.94
Dy 0.5000 0.1688 0.8312  6 Pm 3.25-3.39
Pm 0.0000 0.8694 0.8696  4 Ho 3.25-3.39, 3 Dy 3.39-3.64, 1 Pm 3.43
Ho 0.5000 0.6688 0.6688  6 Pm 3.25-3.39
Pm 0.0000 0.6303 0.3697  6 Ho 3.25-3.39, 1 Pm 3.43, 2 Dy 3.64
Pm 0.0000 0.1304 0.1306  4 Ho 3.25-3.39, 3 Dy 3.39-3.64, 1 Pm 3.43
Ho 0.5000 0.8312 0.1688  6 Pm 3.25-3.39
Ho 0.5000 0.3312 0.3312  6 Pm 3.25-3.39

## Properties
ΔH_f (0 K): 99 meV/atom
Total magnetic moment: 0.000 μB/atom
Theoretical density: 7.9 g cm⁻³
Total energy: -45.552 eV/cell